Record 1
Material: In2C
Method: DFT, meta-GGA SCAN
State: PBEsol geometry

Values from the calculation:
Its formation energy from the elements is 1.2797 eV per atom. As for the electronic total energy: -24.345 eV per atom. The volume comes out at 230.5 Å³ per cell.

abc: 5.980 11.473 3.359
angles: 90.00 90.00 90.00
Space group Cmmm (No. 65)
Unique sites:
In 0.000 0.000 0.000 (multiplicity 2)
In 0.000 0.228 0.500 (multiplicity 4)
In 0.000 0.500 0.500 (multiplicity 2)
C 0.000 0.364 0.000 (multiplicity 4)

Record 2
Material: In2C
Method: DFT, meta-GGA SCAN
State: PBEsol geometry

Values from the calculation:
Its formation energy from the elements is 1.3132 eV per atom. As for the electronic total energy: -24.311 eV per atom. The volume comes out at 224.6 Å³ per cell.

abc: 6.079 6.079 6.079
angles: 90.00 90.00 90.00
Space group Fm-3m (No. 225)
Unique sites:
In 0.250 0.250 0.250 (multiplicity 8)
C 0.000 0.000 0.000 (multiplicity 4)

Record 3
Material: In2C
Method: DFT, meta-GGA SCAN
State: PBEsol geometry

Values from the calculation:
Its formation energy from the elements is 1.0838 eV per atom. As for the electronic total energy: -24.540 eV per atom. The volume comes out at 53.8 Å³ per cell.

abc: 3.339 3.339 4.822
angles: 90.00 90.00 90.00
Space group P4/mmm (No. 123)
Unique sites:
In 0.000 0.000 0.000 (multiplicity 1)
In 0.500 0.500 0.500 (multiplicity 1)
C 0.000 0.000 0.500 (multiplicity 1)

Record 4
Material: In2C
Method: DFT, meta-GGA SCAN
State: PBEsol geometry

Values from the calculation:
Its formation energy from the elements is 0.8946 eV per atom. As for the electronic total energy: -24.730 eV per atom. The volume comes out at 219.5 Å³ per cell.

abc: 3.533 13.148 4.726
angles: 90.00 90.00 90.00
Space group Cmcm (No. 63)
Unique sites:
In 0.000 0.061 0.250 (multiplicity 4)
In 0.000 0.303 0.250 (multiplicity 4)
C 0.000 0.323 0.750 (multiplicity 4)

Record 5
Material: In5C
Method: DFT, meta-GGA SCAN
State: PBEsol geometry

Values from the calculation:
Its formation energy from the elements is 1.1737 eV per atom. As for the electronic total energy: -28.332 eV per atom. The volume comes out at 598.6 Å³ per cell.

abc: 8.428 8.428 8.428
angles: 90.00 90.00 90.00
Space group F-43m (No. 216)
Unique sites:
In 0.000 0.000 0.000 (multiplicity 4)
In 0.125 0.125 0.375 (multiplicity 16)
C 0.250 0.250 0.750 (multiplicity 4)

Record 6
Material: In2C
Method: DFT, meta-GGA SCAN
State: PBEsol geometry

Values from the calculation:
Its formation energy from the elements is 1.1343 eV per atom. As for the electronic total energy: -24.490 eV per atom. The volume comes out at 113.4 Å³ per cell.

abc: 5.637 5.637 3.568
angles: 90.00 90.00 90.00
Space group P4_2/mnm (No. 136)
Unique sites:
In 0.202 0.202 0.000 (multiplicity 4)
C 0.000 0.000 0.500 (multiplicity 2)

Record 7
Material: InC2
Method: DFT, meta-GGA SCAN
State: PBEsol geometry

Values from the calculation:
Its formation energy from the elements is 1.6091 eV per atom. As for the electronic total energy: -16.253 eV per atom. The volume comes out at 79.6 Å³ per cell.

abc: 2.977 2.977 8.978
angles: 90.00 90.00 90.00
Space group P4/nmm (No. 129, origin choice 2)
Unique sites:
In 0.250 0.250 0.158 (multiplicity 2)
C 0.250 0.250 0.423 (multiplicity 2)
C 0.250 0.750 0.500 (multiplicity 2)

Record 8
Material: InC2
Method: DFT, meta-GGA SCAN
State: PBEsol geometry

Values from the calculation:
Its formation energy from the elements is 1.4458 eV per atom. As for the electronic total energy: -16.416 eV per atom. The volume comes out at 226.4 Å³ per cell.

abc: 6.9699 6.9699 5.3811
angles: 90.00 90.00 120.00
Space group P6/mmm (No. 191)
Unique sites:
In 0.0000 0.0000 0.0000 (multiplicity 1)
In 0.3333 0.6667 0.5000 (multiplicity 2)
C 0.0000 0.1987 0.5000 (multiplicity 6)